# Rb4CePu3S8 GGA-PBE relaxed
data_Rb4CePu3S8
_chemical_formula_sum 'Rb4 Ce1 Pu3 S8'
_symmetry_space_group_name_H-M 'P 1'
_symmetry_Int_Tables_number 1
_cell_length_a 9.0401
_cell_length_b 9.0401
_cell_length_c 9.0401
_cell_angle_alpha 54.87
_cell_angle_beta 54.87
_cell_angle_gamma 54.87
loop_
_symmetry_equiv_pos_as_xyz
'x,y,z'
loop_
_atom_site_label
_atom_site_type_symbol
_atom_site_fract_x
_atom_site_fract_y
_atom_site_fract_z
Rb1 Rb 0.0000 0.0000 0.0000
Rb2 Rb 0.0000 0.5000 0.5000
Rb3 Rb 0.5000 0.0000 0.5000
Rb4 Rb 0.5000 0.5000 0.0000
Ce1 Ce 0.5000 0.5000 0.5000
Pu1 Pu 0.0000 0.0000 0.5000
Pu2 Pu 0.0000 0.5000 0.0000
Pu3 Pu 0.5000 0.0000 0.0000
S1 S 0.2294 0.2294 0.2294
S2 S 0.2292 0.7314 0.7314
S3 S 0.2686 0.2686 0.7708
S4 S 0.2686 0.7708 0.2686
S5 S 0.7314 0.2292 0.7314
S6 S 0.7314 0.7314 0.2292
S7 S 0.7708 0.2686 0.2686
S8 S 0.7706 0.7706 0.7706
# * formation energy from raw total energies: -1.6196 eV per atom
# * mass density: 5.309 Mg/m³
# * DOS at the Fermi energy: 34.2 states/eV per cell
# * E: -6.98 eV/atom
# * space group: No. 166
# * magnetization: 1.000 μB/atom